# VFe, optimized geometry, DFT GGA-PBEsol
# * spin magnetization: 2.43 μB per cell
# * energy relative to the elements: -0.229 eV/f.u.
data_VFe
_chemical_formula_sum 'V2 Fe2'
_cell_length_a 2.9162
_cell_length_b 4.0097
_cell_length_c 3.9185
_cell_angle_alpha 90.00
_cell_angle_beta 90.00
_cell_angle_gamma 90.00
_symmetry_space_group_name_H-M 'C m m m'
_symmetry_Int_Tables_number 65
_symmetry_space_group_name_Hall '-C 2 2'
loop_
_atom_site_label
_atom_site_type_symbol
_atom_site_fract_x
_atom_site_fract_y
_atom_site_fract_z
_atom_site_occupancy
V1 V 0.0000 0.0000 0.0000 1
Fe1 Fe 0.0000 0.5000 0.5000 1